# BaCo2Ir, relaxed, DFT GGA-PBE
# * SG: Pmmm
# * energy relative to the elements: 1.0481 eV/atom
# * density: 10.0 g/cm3
# * total magnetic moment: 3.727 μB/f.u.
data_BaCo2Ir
_symmetry_space_group_name_H-M 'P 1'
_symmetry_Int_Tables_number 1
_symmetry_space_group_name_Hall 'P 1'
_cell_length_a 3.3250
_cell_length_b 5.0507
_cell_length_c 4.4092
_cell_angle_alpha 90.00
_cell_angle_beta 90.00
_cell_angle_gamma 90.00
loop_
_atom_site_label
_atom_site_type_symbol
_atom_site_fract_x
_atom_site_fract_y
_atom_site_fract_z
Ba1 Ba 0.0000 0.5000 0.5000
Co1 Co 0.0000 0.0000 0.0000
Co2 Co 0.5000 0.5000 0.0000
Ir1 Ir 0.5000 0.0000 0.5000